Entry 1:
# Cs2CuPt2 | Alexandria | GGA-PBE | relaxed
data_Cs2CuPt2
_chemical_formula_sum 'Cs2 Cu1 Pt2'
_symmetry_space_group_name_H-M 'P 1'
_symmetry_Int_Tables_number 1
_cell_length_a 4.5281
_cell_length_b 4.5281
_cell_length_c 11.5294
_cell_angle_alpha 78.68
_cell_angle_beta 78.68
_cell_angle_gamma 60.00
loop_
_symmetry_equiv_pos_as_xyz
'x,y,z'
loop_
_atom_site_label
_atom_site_type_symbol
_atom_site_fract_x
_atom_site_fract_y
_atom_site_fract_z
Cs1 Cs 0.4221 0.4221 0.7337
Cs2 Cs 0.5779 0.5779 0.2663
Pt1 Pt 0.6706 0.6706 0.9882
Pt2 Pt 0.3294 0.3294 0.0118
Cu1 Cu 0.0000 0.0000 0.0000
# Calculated formation energy: -148 meV per atom
# Relative energy among the computed polymorphs: 0.000 eV/atom

Entry 2:
# Li5TlGa4 | Alexandria | GGA-PBE | relaxed
data_Li5TlGa4
_chemical_formula_sum 'Li5 Tl1 Ga4'
_symmetry_space_group_name_H-M 'P 1'
_symmetry_Int_Tables_number 1
_cell_length_a 3.2406
_cell_length_b 3.2406
_cell_length_c 15.9534
_cell_angle_alpha 90.00
_cell_angle_beta 90.00
_cell_angle_gamma 90.00
loop_
_symmetry_equiv_pos_as_xyz
'x,y,z'
loop_
_atom_site_label
_atom_site_type_symbol
_atom_site_fract_x
_atom_site_fract_y
_atom_site_fract_z
Li1 Li 0.5000 0.5000 0.1260
Li2 Li 0.5000 0.5000 0.8740
Li3 Li 0.5000 0.5000 0.5000
Li4 Li 0.5000 0.5000 0.3164
Li5 Li 0.5000 0.5000 0.6836
Ga1 Ga 0.0000 0.0000 0.5926
Ga2 Ga 0.0000 0.0000 0.4074
Ga3 Ga 0.0000 0.0000 0.2255
Ga4 Ga 0.0000 0.0000 0.7745
Tl1 Tl 0.0000 0.0000 0.0000
# Calculated formation energy: -250 meV per atom

Entry 3:
# BaZn2Hg2 | Alexandria | GGA-PBE | relaxed
data_BaZn2Hg2
_chemical_formula_sum 'Ba2 Zn4 Hg4'
_symmetry_space_group_name_H-M 'P 1'
_symmetry_Int_Tables_number 1
_cell_length_a 8.2794
_cell_length_b 8.2794
_cell_length_c 3.9253
_cell_angle_alpha 90.00
_cell_angle_beta 90.00
_cell_angle_gamma 90.00
loop_
_symmetry_equiv_pos_as_xyz
'x,y,z'
loop_
_atom_site_label
_atom_site_type_symbol
_atom_site_fract_x
_atom_site_fract_y
_atom_site_fract_z
Hg1 Hg 0.8261 0.3261 0.5000
Hg2 Hg 0.6739 0.8261 0.5000
Hg3 Hg 0.3261 0.1739 0.5000
Hg4 Hg 0.1739 0.6739 0.5000
Zn1 Zn 0.8885 0.6115 0.0000
Zn2 Zn 0.1115 0.3885 0.0000
Zn3 Zn 0.6115 0.1115 0.0000
Zn4 Zn 0.3885 0.8885 0.0000
Ba1 Ba 0.5000 0.5000 0.0000
Ba2 Ba 0.0000 0.0000 0.0000
# Calculated formation energy: -110 meV per atom
# Relative energy among the computed polymorphs: 0.163 eV/atom

Entry 4:
# Rb3ZnTe | Alexandria | GGA-PBE | relaxed
data_Rb3ZnTe
_chemical_formula_sum 'Rb3 Zn1 Te1'
_symmetry_space_group_name_H-M 'P 1'
_symmetry_Int_Tables_number 1
_cell_length_a 7.0577
_cell_length_b 7.0577
_cell_length_c 7.0577
_cell_angle_alpha 90.00
_cell_angle_beta 90.00
_cell_angle_gamma 90.00
loop_
_symmetry_equiv_pos_as_xyz
'x,y,z'
loop_
_atom_site_label
_atom_site_type_symbol
_atom_site_fract_x
_atom_site_fract_y
_atom_site_fract_z
Zn1 Zn 0.5000 0.5000 0.5000
Te1 Te 0.0000 0.0000 0.0000
Rb1 Rb 0.5000 0.0000 0.0000
Rb2 Rb 0.0000 0.5000 0.0000
Rb3 Rb 0.0000 0.0000 0.5000
# E_form (uncorrected): -328.7 meV/atom
# Relative energy among the computed polymorphs: 0.000 eV/atom

Entry 5:
# Sm4TeSeS2 | Alexandria | GGA-PBE | relaxed
data_Sm4TeSeS2
_chemical_formula_sum 'Sm4 Te1 Se1 S2'
_symmetry_space_group_name_H-M 'P 1'
_symmetry_Int_Tables_number 1
_cell_length_a 4.1151
_cell_length_b 7.2977
_cell_length_c 7.2038
_cell_angle_alpha 71.11
_cell_angle_beta 90.00
_cell_angle_gamma 90.00
loop_
_symmetry_equiv_pos_as_xyz
'x,y,z'
loop_
_atom_site_label
_atom_site_type_symbol
_atom_site_fract_x
_atom_site_fract_y
_atom_site_fract_z
Sm1 Sm 0.5000 0.2189 0.7497
Sm2 Sm 0.5000 0.7811 0.2503
Sm3 Sm 0.0000 0.7884 0.7272
Sm4 Sm 0.0000 0.2116 0.2728
S1 S 0.0000 0.0000 0.0000
S2 S 0.5000 0.0000 0.5000
Se1 Se 0.0000 0.5000 0.5000
Te1 Te 0.5000 0.5000 0.0000
# E_form (uncorrected): -1811.6 meV/atom

Entry 6:
# LiPuSnRu | Alexandria | GGA-PBE | relaxed
data_LiPuSnRu
_chemical_formula_sum 'Li1 Pu1 Sn1 Ru1'
_symmetry_space_group_name_H-M 'P 1'
_symmetry_Int_Tables_number 1
_cell_length_a 4.7362
_cell_length_b 4.7362
_cell_length_c 4.7362
_cell_angle_alpha 60.00
_cell_angle_beta 60.00
_cell_angle_gamma 60.00
loop_
_symmetry_equiv_pos_as_xyz
'x,y,z'
loop_
_atom_site_label
_atom_site_type_symbol
_atom_site_fract_x
_atom_site_fract_y
_atom_site_fract_z
Ru1 Ru 0.7500 0.7500 0.7500
Sn1 Sn 0.0000 0.0000 0.0000
Pu1 Pu 0.5000 0.5000 0.5000
Li1 Li 0.2500 0.2500 0.2500
# Calculated formation energy: -215 meV per atom